Computed, not measured: a geometry-optimized LaZnIn structure at the GGA-PBE level of DFT.

Results
For the total magnetization, the calculation gives 0.000 μB per formula unit. The value obtained for the total DFT energy (no corrections) is -3.27 eV per atom.

Cell lengths 6.7736, 4.8851, 9.5468 Å; angles 90.00, 90.00, 90.00 degrees
Atoms (fractional coordinates):
In1 0.3647 0.2500 0.0780
In2 0.1353 0.7500 0.5780
Zn1 0.0570 0.7500 0.2688
La1 0.8448 0.2500 0.0884
La2 0.6552 0.7500 0.5884
Zn2 0.4430 0.2500 0.7688
In3 0.6353 0.7500 0.9220
Zn3 0.9430 0.2500 0.7312
La3 0.3448 0.2500 0.4116
In4 0.8647 0.2500 0.4220
La4 0.1552 0.7500 0.9116
Zn4 0.5570 0.7500 0.2312


Computed, not measured: a geometry-optimized Bi2Sb2Te structure at the GGA-PBE level of DFT.

Results
The calculation puts the uncorrected formation energy at 0.180 eV/atom. For the total magnetization, the calculation gives 0.000 μB per formula unit. The value obtained for the total DFT energy (no corrections) is -3.65 eV per atom.

Cell lengths 8.6543, 8.6543, 4.1035 Å; angles 90.00, 90.00, 90.00 degrees
Atoms (fractional coordinates):
Sb1 0.6567 0.1567 0.0000
Bi1 0.3521 0.1479 0.5000
Bi2 0.8521 0.3521 0.5000
Sb2 0.3433 0.8433 0.0000
Bi3 0.6479 0.8521 0.5000
Sb3 0.8433 0.6567 0.0000
Sb4 0.1567 0.3433 0.0000
Te1 0.5000 0.5000 0.0000
Te2 0.0000 0.0000 0.0000
Bi4 0.1479 0.6479 0.5000


Computed, not measured: a geometry-optimized Nb2BiP structure at the GGA-PBE level of DFT.

Results
For the total magnetization, the calculation gives 0.000 μB per formula unit. The value obtained for the total DFT energy (no corrections) is -7.30 eV per atom.

Cell lengths 4.7164, 4.7164, 4.7164 Å; angles 60.00, 60.00, 60.00 degrees
Atoms (fractional coordinates):
Nb1 0.7500 0.7500 0.7500
Bi1 0.5000 0.5000 0.5000
Nb2 0.2500 0.2500 0.2500
P1 0.0000 0.0000 0.0000


Computed, not measured: a geometry-optimized Ho2Si4MoPt3 structure at the GGA-PBE level of DFT.

Results
The calculation puts the uncorrected formation energy at -0.946 eV/atom. For the total magnetization, the calculation gives 0.000 μB per formula unit. The value obtained for the total DFT energy (no corrections) is -6.93 eV per atom.

Cell lengths 4.1806, 4.1806, 9.9937 Å; angles 90.00, 90.00, 90.00 degrees
Atoms (fractional coordinates):
Ho1 0.0000 0.5000 0.7562
Pt1 0.0000 0.5000 0.1246
Si1 0.5000 0.0000 0.6338
Si2 0.0000 0.5000 0.3662
Pt2 0.0000 0.0000 0.5000
Si3 0.0000 0.0000 0.0000
Mo1 0.5000 0.5000 0.5000
Ho2 0.5000 0.0000 0.2438
Pt3 0.5000 0.0000 0.8754
Si4 0.5000 0.5000 0.0000


Computed, not measured: a geometry-optimized GdHf2V structure at the GGA-PBE level of DFT.

Results
For the total magnetization, the calculation gives 9.070 μB per formula unit. The value obtained for the total DFT energy (no corrections) is -10.59 eV per atom.

Cell lengths 3.3189, 3.3189, 8.1303 Å; angles 90.00, 90.00, 90.00 degrees
Atoms (fractional coordinates):
Gd1 0.5000 0.5000 0.5000
Hf1 0.0000 0.0000 0.8041
V1 0.5000 0.5000 0.0000
Hf2 0.0000 0.0000 0.1959


Computed, not measured: a geometry-optimized Be2AlAg structure at the GGA-PBE level of DFT.

Results
For the total magnetization, the calculation gives 0.000 μB per formula unit. The value obtained for the total DFT energy (no corrections) is -3.30 eV per atom.

Cell lengths 4.6624, 4.6624, 4.2919 Å; angles 70.55, 70.55, 35.23 degrees
Atoms (fractional coordinates):
Ag1 0.4856 0.4856 0.5502
Be1 0.7304 0.7304 0.7350
Al1 0.2621 0.2621 0.2024
Be2 0.0219 0.0219 0.0124


Computed, not measured: a geometry-optimized Pm5Dy2Er2 structure at the GGA-PBE level of DFT.

Results
For the total magnetization, the calculation gives 0.001 μB per formula unit. The value obtained for the total DFT energy (no corrections) is -4.50 eV per atom.

Cell lengths 12.8476, 6.1890, 10.3800 Å; angles 107.31, 128.23, 90.03 degrees
Atoms (fractional coordinates):
Dy1 0.4998 0.3859 0.9998
Pm1 0.4583 0.5975 0.2876
Pm2 0.2518 0.7461 0.9036
Pm3 0.7482 0.8424 0.0966
Pm4 0.1514 0.2458 0.9032
Er1 0.8156 0.3135 0.7294
Er2 0.4140 0.8131 0.7298
Pm5 0.0724 0.7912 0.4999
Pm6 0.8484 0.3425 0.0964
Dy2 0.8056 0.7653 0.5003
Pm7 0.6704 0.8105 0.7122
Pm8 0.3296 0.0978 0.2878
Dy3 0.9999 0.8863 0.0001
Pm9 0.9277 0.2916 0.5000
Er3 0.1845 0.5837 0.2706
Er4 0.5861 0.0835 0.2705
Pm10 0.5417 0.3102 0.7122
Dy4 0.1946 0.2650 0.5000


Computed, not measured: a geometry-optimized TbDyHo2S4 structure at the GGA-PBE level of DFT.

Results
The calculation puts the uncorrected formation energy at -1.986 eV/atom. For the total magnetization, the calculation gives 0.000 μB per formula unit. The value obtained for the total DFT energy (no corrections) is -6.35 eV per atom.

Cell lengths 3.8671, 6.7746, 6.7742 Å; angles 70.92, 90.00, 90.00 degrees
Atoms (fractional coordinates):
Ho1 0.5000 0.0000 0.5000
S1 0.5000 0.7528 0.2500
S2 0.5000 0.2472 0.7500
Dy1 0.0000 0.5000 0.5000
S3 0.0000 0.7535 0.7479
Tb1 0.5000 0.5000 0.0000
S4 0.0000 0.2465 0.2521
Ho2 0.0000 0.0000 0.0000


Computed, not measured: a geometry-optimized BaCd2Cu2 structure at the GGA-PBE level of DFT.

Results
For the total magnetization, the calculation gives 0.000 μB per formula unit. The value obtained for the total DFT energy (no corrections) is -2.25 eV per atom.

Cell lengths 8.4166, 8.4166, 3.1321 Å; angles 90.00, 90.00, 90.00 degrees
Atoms (fractional coordinates):
Ba1 0.5000 0.5000 0.0000
Ba2 0.0000 0.0000 0.0000
Cd1 0.3787 0.8787 0.0000
Cd2 0.1213 0.3787 0.0000
Cu1 0.3272 0.1728 0.5000
Cu2 0.8272 0.3272 0.5000
Cu3 0.6728 0.8272 0.5000
Cd3 0.8787 0.6213 0.0000
Cu4 0.1728 0.6728 0.5000
Cd4 0.6213 0.1213 0.0000


Computed, not measured: a geometry-optimized LiCuRh2 structure at the GGA-PBE level of DFT.

Results
For the total magnetization, the calculation gives 1.363 μB per formula unit. The value obtained for the total DFT energy (no corrections) is -5.16 eV per atom.

Cell lengths 4.2400, 4.2400, 4.2400 Å; angles 60.00, 60.00, 60.00 degrees
Atoms (fractional coordinates):
Cu1 0.5000 0.5000 0.5000
Rh1 0.2500 0.2500 0.2500
Rh2 0.0000 0.0000 0.0000
Li1 0.7500 0.7500 0.7500


Computed, not measured: a geometry-optimized HfCu2TeCl structure at the GGA-PBE level of DFT.

Results
The calculation puts the uncorrected formation energy at 0.485 eV/atom. For the total magnetization, the calculation gives 0.000 μB per formula unit. The value obtained for the total DFT energy (no corrections) is -4.14 eV per atom.

Cell lengths 5.1558, 4.7031, 5.1558 Å; angles 90.00, 90.00, 90.00 degrees
Atoms (fractional coordinates):
Cu1 0.0000 0.0000 0.5000
Te1 0.5000 0.5000 0.5000
Hf1 0.0000 0.0000 0.0000
Cl1 0.0000 0.5000 0.0000
Cu2 0.5000 0.0000 0.0000


Computed, not measured: a geometry-optimized CrTePt2 structure at the GGA-PBE level of DFT.

Results
The calculation puts the uncorrected formation energy at 0.072 eV/atom. For the total magnetization, the calculation gives 3.702 μB per formula unit. The value obtained for the total DFT energy (no corrections) is -6.14 eV per atom.

Cell lengths 3.6045, 3.6045, 5.5127 Å; angles 90.00, 90.00, 90.00 degrees
Atoms (fractional coordinates):
Pt1 0.0000 0.0000 0.9783
Pt2 0.5000 0.5000 0.2591
Cr1 0.5000 0.5000 0.7836
Te1 0.0000 0.0000 0.4789